{"formula": "Na2TiPbS4", "functional": "PBE-GGA", "state": "optimized geometry", "crystal_system": "monoclinic", "e_form_raw_kj_per_mol_fu": -793, "total_energy_ev_per_atom": -4.871, "cell": [[6.962, 0.000, 0.000], [0.000, 3.807, 0.000], [-2.225, 0.000, 6.603]], "species": ["Na", "Na", "Ti", "Pb", "S", "S", "S", "S"], "fractional_positions": [[0.000, 0.000, 0.000], [0.000, 0.500, 0.500], [0.500, 0.000, 0.500], [0.500, 0.500, 0.000], [0.279, 0.000, 0.710], [0.289, 0.500, 0.291], [0.711, 0.500, 0.709], [0.721, 0.000, 0.290]]}


{"formula": "Al3OsO", "functional": "PBE-GGA", "state": "optimized geometry", "crystal_system": "cubic", "e_form_raw_kj_per_mol_fu": 170, "total_energy_ev_per_atom": -5.131, "cell": [[4.704, 0.000, 0.000], [0.000, 4.704, 0.000], [0.000, 0.000, 4.704]], "species": ["Al", "Al", "Al", "Os", "O"], "fractional_positions": [[0.000, 0.000, 0.500], [0.000, 0.500, 0.000], [0.500, 0.000, 0.000], [0.000, 0.000, 0.000], [0.500, 0.500, 0.500]]}


{"formula": "PuNiSn2", "functional": "PBE-GGA", "state": "optimized geometry", "crystal_system": "orthorhombic", "formation_enthalpy_0k_ev_per_fu": -1.19, "total_energy_ev_per_atom": -7.326, "cell": [[6.988, 0.000, 0.000], [0.000, 4.624, 0.000], [0.000, 0.000, 10.955]], "species": ["Pu", "Pu", "Pu", "Pu", "Ni", "Ni", "Ni", "Ni", "Sn", "Sn", "Sn", "Sn", "Sn", "Sn", "Sn", "Sn"], "fractional_positions": [[0.221, 0.250, 0.167], [0.279, 0.750, 0.667], [0.721, 0.250, 0.333], [0.779, 0.750, 0.833], [0.090, 0.250, 0.875], [0.410, 0.750, 0.375], [0.590, 0.250, 0.625], [0.910, 0.750, 0.125], [0.041, 0.750, 0.346], [0.199, 0.750, 0.962], [0.301, 0.250, 0.462], [0.459, 0.250, 0.846], [0.541, 0.750, 0.154], [0.699, 0.750, 0.538], [0.801, 0.250, 0.038], [0.959, 0.250, 0.654]]}


{"formula": "Pm2PrHo3Er6", "functional": "PBE-GGA", "state": "optimized geometry", "crystal_system": "monoclinic", "formation_enthalpy_0k_ev_per_fu": 0.25, "total_energy_ev_per_atom": -4.595, "cell": [[3.080, -5.330, 0.000], [3.080, 5.330, 0.000], [-2.045, 0.000, 11.548]], "species": ["Pm", "Pm", "Pr", "Ho", "Ho", "Ho", "Er", "Er", "Er", "Er", "Er", "Er"], "fractional_positions": [[0.167, 0.833, 0.000], [0.833, 0.167, 0.000], [0.500, 0.500, 0.000], [0.000, 0.000, 0.500], [0.333, 0.667, 0.500], [0.667, 0.333, 0.500], [0.081, 0.414, 0.746], [0.252, 0.252, 0.254], [0.414, 0.081, 0.746], [0.586, 0.919, 0.254], [0.748, 0.748, 0.746], [0.919, 0.586, 0.254]]}


{"formula": "PrSm2Sn2", "functional": "PBE-GGA", "state": "optimized geometry", "crystal_system": "monoclinic", "formation_enthalpy_0k_ev_per_fu": -2.59, "total_energy_ev_per_atom": -4.963, "cell": [[3.289, -3.288, 0.000], [3.289, 3.288, 0.000], [-3.263, 0.000, 7.171]], "species": ["Pr", "Sm", "Sm", "Sn", "Sn"], "fractional_positions": [[0.000, 0.000, 0.000], [0.250, 0.750, 0.500], [0.750, 0.250, 0.500], [0.401, 0.401, 0.805], [0.599, 0.599, 0.195]]}


{"formula": "PmTm6Mg12", "functional": "PBE-GGA", "state": "optimized geometry", "crystal_system": "trigonal", "formation_enthalpy_0k_ev_per_fu": 5.63, "total_energy_ev_per_atom": -2.373, "cell": [[6.943, 4.008, 3.367], [-6.943, 4.008, 3.367], [0.000, -8.017, 3.367]], "species": ["Pm", "Tm", "Tm", "Tm", "Tm", "Tm", "Tm", "Mg", "Mg", "Mg", "Mg", "Mg", "Mg", "Mg", "Mg", "Mg", "Mg", "Mg", "Mg"], "fractional_positions": [[0.000, 0.000, 0.000], [0.294, 0.690, 0.690], [0.310, 0.310, 0.706], [0.310, 0.706, 0.310], [0.690, 0.294, 0.690], [0.690, 0.690, 0.294], [0.706, 0.310, 0.310], [0.108, 0.500, 0.892], [0.108, 0.892, 0.500], [0.113, 0.345, 0.345], [0.345, 0.113, 0.345], [0.345, 0.345, 0.113], [0.500, 0.108, 0.892], [0.500, 0.892, 0.108], [0.655, 0.655, 0.887], [0.655, 0.887, 0.655], [0.887, 0.655, 0.655], [0.892, 0.108, 0.500], [0.892, 0.500, 0.108]]}


{"formula": "KHgN", "functional": "PBE-GGA", "state": "optimized geometry", "crystal_system": "triclinic", "e_form_raw_kj_per_mol_fu": 197, "total_energy_ev_per_atom": -2.562, "cell": [[3.532, 0.000, 0.000], [0.000, 4.744, 0.000], [0.112, 2.353, 9.556]], "species": ["K", "K", "Hg", "Hg", "N", "N"], "fractional_positions": [[0.005, 0.307, 0.384], [0.995, 0.693, 0.616], [0.496, 0.071, 0.861], [0.504, 0.929, 0.139], [0.491, 0.180, 0.642], [0.509, 0.820, 0.358]]}


{"formula": "TbCe2Ru", "functional": "PBE-GGA", "state": "optimized geometry", "crystal_system": "tetragonal", "formation_enthalpy_0k_ev_per_fu": -0.29, "total_energy_ev_per_atom": -6.516, "cell": [[3.642, 0.000, 0.000], [0.000, 3.642, 0.000], [0.000, 0.000, 7.643]], "species": ["Tb", "Ce", "Ce", "Ru"], "fractional_positions": [[0.000, 0.000, 0.000], [0.500, 0.500, 0.308], [0.500, 0.500, 0.692], [0.000, 0.000, 0.500]]}


Which formula does entry 2 have?
Al3OsO


Please write out number 7 again, unchanged.
{"formula": "KHgN", "functional": "PBE-GGA", "state": "optimized geometry", "crystal_system": "triclinic", "e_form_raw_kj_per_mol_fu": 197, "total_energy_ev_per_atom": -2.562, "cell": [[3.532, 0.000, 0.000], [0.000, 4.744, 0.000], [0.112, 2.353, 9.556]], "species": ["K", "K", "Hg", "Hg", "N", "N"], "fractional_positions": [[0.005, 0.307, 0.384], [0.995, 0.693, 0.616], [0.496, 0.071, 0.861], [0.504, 0.929, 0.139], [0.491, 0.180, 0.642], [0.509, 0.820, 0.358]]}


What did the sixth record say?
{"formula": "PmTm6Mg12", "functional": "PBE-GGA", "state": "optimized geometry", "crystal_system": "trigonal", "formation_enthalpy_0k_ev_per_fu": 5.63, "total_energy_ev_per_atom": -2.373, "cell": [[6.943, 4.008, 3.367], [-6.943, 4.008, 3.367], [0.000, -8.017, 3.367]], "species": ["Pm", "Tm", "Tm", "Tm", "Tm", "Tm", "Tm", "Mg", "Mg", "Mg", "Mg", "Mg", "Mg", "Mg", "Mg", "Mg", "Mg", "Mg", "Mg"], "fractional_positions": [[0.000, 0.000, 0.000], [0.294, 0.690, 0.690], [0.310, 0.310, 0.706], [0.310, 0.706, 0.310], [0.690, 0.294, 0.690], [0.690, 0.690, 0.294], [0.706, 0.310, 0.310], [0.108, 0.500, 0.892], [0.108, 0.892, 0.500], [0.113, 0.345, 0.345], [0.345, 0.113, 0.345], [0.345, 0.345, 0.113], [0.500, 0.108, 0.892], [0.500, 0.892, 0.108], [0.655, 0.655, 0.887], [0.655, 0.887, 0.655], [0.887, 0.655, 0.655], [0.892, 0.108, 0.500], [0.892, 0.500, 0.108]]}